Record 1
Entry from Alexandria: crystalline HgRu2Cl at its relaxed geometry (GGA-PBE).

Structure (POSCAR):
```
HgRu2Cl
1.0
2.882 0.000 0.000
0.000 4.667 0.000
0.000 0.000 5.100
Hg Ru Cl
1 2 1
Direct
0.000 0.000 0.000 Hg
0.000 0.500 0.500 Ru
0.500 0.500 0.000 Ru
0.500 0.000 0.500 Cl
```

***

Record 2
Entry from Alexandria: crystalline VPtN2 at its relaxed geometry (GGA-PBE).

Structure (POSCAR):
```
VPtN2
1.0
1.423 0.821 6.234
-1.423 0.821 6.234
0.000 -1.643 6.234
V Pt N
1 1 2
Direct
0.000 0.000 0.000 V
0.500 0.500 0.500 Pt
0.393 0.393 0.393 N
0.607 0.607 0.607 N
```

***

Record 3
Entry from Alexandria: crystalline NiSbSe4 at its relaxed geometry (GGA-PBE).

Structure (POSCAR):
```
NiSbSe4
1.0
0.000 4.016 4.016
4.016 0.000 4.016
4.016 4.016 0.000
Ni Sb Se
1 1 4
Direct
0.000 0.000 0.000 Ni
0.750 0.750 0.750 Sb
0.374 0.374 0.374 Se
0.374 0.374 0.878 Se
0.374 0.878 0.374 Se
0.878 0.374 0.374 Se
```

***

Computed values of energy relative to the elements, uncorrected (unit: meV per atom) for the preceding records, in sequence: 849, -306, 823.